Below is a relaxed structure of Nd4TeP2, with properties calculated at the GGA-PBE level.

The structure in POSCAR format:
```
Nd4TeP2
1.0
4.126 0.000 0.600
2.020 3.598 0.600
0.049 0.029 14.160
Nd Te P
4 1 2
Direct
0.127 0.127 0.618 Nd
0.282 0.282 0.153 Nd
0.718 0.718 0.847 Nd
0.873 0.873 0.382 Nd
0.000 0.000 0.000 Te
0.422 0.422 0.733 P
0.578 0.578 0.267 P
```

Results
M_tot in Bohr magnetons per cell: 1.36
DOS(E_F) in states/eV per atom: 0.5748
Raw formation energy in meV per atom: -1288